A geometry-optimized Ac2FeAuO6 structure. Source: Alexandria, functional PBE with a Hubbard U.

The space group is P4mm (No. 99) and the conventional cell measures 5.756, 5.756 and 4.348 Å, with angles of 90.00, 90.00 and 90.00 degrees. The distinct sites, in fractional coordinates, are Ac at (0.000, 0.500, 0.000), Fe at (0.000, 0.000, 0.541), Au at (0.500, 0.500, 0.571), O at (0.000, 0.000, 0.096), O at (0.238, 0.238, 0.622) and O at (0.500, 0.500, 0.075).

The total energy is -66.48 eV per cell.